# 1
First-principles (PBE) data for a relaxed structure of GaHg, as listed in Alexandria via LeMat-Bulk.

a b c (Å): 4.786 4.786 5.695
angles (deg): 90.00 90.00 120.00
Atoms (fractional coordinates):
Ga  0.333  0.667  0.250
Ga  0.667  0.333  0.750
Hg  0.333  0.667  0.750
Hg  0.667  0.333  0.250

Output
As for the symmetry: P6_3/mmc (194). The value obtained for the total magnetic moment is 0.0 μB per formula unit. The value obtained for the formation enthalpy at 0 K is 145 meV per atom.

---

# 2
First-principles (PBE) data for a relaxed structure of AlInS2, as listed in Alexandria via LeMat-Bulk.

a b c (Å): 4.506 20.466 4.772
angles (deg): 90.00 90.00 90.00
Atoms (fractional coordinates):
Al  0.000  0.065  0.250
Al  0.000  0.935  0.750
Al  0.500  0.435  0.750
Al  0.500  0.565  0.250
In  0.000  0.321  0.250
In  0.000  0.679  0.750
In  0.500  0.179  0.750
In  0.500  0.821  0.250
S  0.000  0.046  0.750
S  0.000  0.171  0.250
S  0.000  0.829  0.750
S  0.000  0.954  0.250
S  0.500  0.329  0.750
S  0.500  0.454  0.250
S  0.500  0.546  0.750
S  0.500  0.671  0.250

Output
As for the symmetry: Cmcm (63). The value obtained for the total magnetic moment is 0.0 μB per formula unit. The calculation puts the raw total energy at -4.13 eV per atom.

---

# 3
First-principles (PBE) data for a relaxed structure of LaCd3Os, as listed in Alexandria via LeMat-Bulk.

a b c (Å): 5.164 5.164 5.164
angles (deg): 90.00 90.00 90.00
Atoms (fractional coordinates):
La  0.000  0.000  0.000
Cd  0.000  0.500  0.500
Cd  0.500  0.000  0.500
Cd  0.500  0.500  0.000
Os  0.500  0.500  0.500

Output
As for the symmetry: Pm-3m (221). The value obtained for the total magnetic moment is 0.0 μB per formula unit. The value obtained for the formation enthalpy at 0 K is 327 meV per atom.

---

# 4
First-principles (PBE) data for a relaxed structure of WSe2, as listed in Alexandria via LeMat-Bulk.

a b c (Å): 4.543 4.543 5.953
angles (deg): 90.00 90.00 120.00
Atoms (fractional coordinates):
W  0.333  0.667  0.250
W  0.667  0.333  0.750
Se  0.000  0.000  0.000
Se  0.000  0.000  0.500
Se  0.333  0.667  0.750
Se  0.667  0.333  0.250

Output
As for the symmetry: P6_3/mmc (194). The value obtained for the total magnetic moment is 0.5 μB per formula unit. The calculation puts the raw total energy at -5.87 eV per atom.